Ca2Pm2Sn7: optimized geometry, GGA-PBE.

a b c (Å): 7.115 7.115 7.246
angles (deg): 90.00 90.00 99.93
Element x y z (fractional)
Ca: 0.182 0.182 0.000
Ca: 0.818 0.818 0.000
Pm: 0.289 0.711 0.500
Pm: 0.711 0.289 0.500
Sn: 0.000 0.000 0.500
Sn: 0.000 0.500 0.203
Sn: 0.000 0.500 0.797
Sn: 0.500 0.000 0.203
Sn: 0.500 0.000 0.797
Sn: 0.500 0.500 0.196
Sn: 0.500 0.500 0.804

- calculated formation energy (eV per atom) = -0.19
- SG = No. 65
- spin magnetization (μB/f.u.) = 0.000